Computed, not measured: crystalline GeBiP2O at its relaxed geometry at the GGA-PBEsol level of DFT.

Structure (CIF):
```
data_GeBiP2O
_chemical_formula_sum 'Ge1 Bi1 P2 O1'
_cell_length_a 4.882
_cell_length_b 4.882
_cell_length_c 3.662
_cell_angle_alpha 90.00
_cell_angle_beta 90.00
_cell_angle_gamma 90.00
_space_group_name_H-M_alt 'P 4/m m m'
_space_group_IT_number 123
_space_group_name_Hall '-P 4 2'
loop_
_atom_site_label
_atom_site_type_symbol
_atom_site_fract_x
_atom_site_fract_y
_atom_site_fract_z
Ge1 Ge 0.000 0.000 0.000
Bi1 Bi 0.500 0.500 0.500
P1 P 0.000 0.500 0.000
O1 O 0.000 0.000 0.500
```

Uncorrected formation energy (kJ/mol of formula units): 19.5
Electronic total energy (eV/atom): -5.171
Fermi-level density of states (states/eV/atom): 0.478
M_tot (μB per atom): 0.00



Computed, not measured: crystalline GeBiRuO2 at its relaxed geometry at the GGA-PBEsol level of DFT.

Structure (CIF):
```
data_GeBiRuO2
_chemical_formula_sum 'Ge1 Bi1 Ru1 O2'
_cell_length_a 3.670
_cell_length_b 3.670
_cell_length_c 6.657
_cell_angle_alpha 90.00
_cell_angle_beta 90.00
_cell_angle_gamma 90.00
_space_group_name_H-M_alt 'P 4/m m m'
_space_group_IT_number 123
_space_group_name_Hall '-P 4 2'
loop_
_atom_site_label
_atom_site_type_symbol
_atom_site_fract_x
_atom_site_fract_y
_atom_site_fract_z
Ge1 Ge 0.000 0.000 0.000
Bi1 Bi 0.000 0.000 0.500
Ru1 Ru 0.500 0.500 0.500
O1 O 0.000 0.500 0.000
```

Uncorrected formation energy (kJ/mol of formula units): 88.1
Electronic total energy (eV/atom): -5.796
Fermi-level density of states (states/eV/atom): 0.637
M_tot (μB per atom): 0.21



Computed, not measured: crystalline GeBiOs3 at its relaxed geometry at the GGA-PBEsol level of DFT.

Structure (CIF):
```
data_GeBiOs3
_chemical_formula_sum 'Ge1 Bi1 Os3'
_cell_length_a 4.569
_cell_length_b 4.569
_cell_length_c 4.569
_cell_angle_alpha 90.00
_cell_angle_beta 90.00
_cell_angle_gamma 90.00
_space_group_name_H-M_alt 'P m -3 m'
_space_group_IT_number 221
_space_group_name_Hall '-P 4 2 3'
loop_
_atom_site_label
_atom_site_type_symbol
_atom_site_fract_x
_atom_site_fract_y
_atom_site_fract_z
Ge1 Ge 0.000 0.000 0.000
Bi1 Bi 0.500 0.500 0.500
Os1 Os 0.000 0.000 0.500
```

Electronic total energy (eV/atom): -7.576
ΔE_f (eV per atom): 1.60
Fermi-level density of states (states/eV/atom): 1.380
M_tot (μB per atom): 0.00



Computed, not measured: crystalline YGe2BiOs at its relaxed geometry at the GGA-PBEsol level of DFT.

Structure (CIF):
```
data_YGe2BiOs
_chemical_formula_sum 'Y1 Ge2 Bi1 Os1'
_cell_length_a 4.721
_cell_length_b 4.721
_cell_length_c 5.434
_cell_angle_alpha 90.00
_cell_angle_beta 90.00
_cell_angle_gamma 90.00
_space_group_name_H-M_alt 'P 4/m m m'
_space_group_IT_number 123
_space_group_name_Hall '-P 4 2'
loop_
_atom_site_label
_atom_site_type_symbol
_atom_site_fract_x
_atom_site_fract_y
_atom_site_fract_z
Y1 Y 0.000 0.000 0.000
Ge1 Ge 0.000 0.500 0.500
Bi1 Bi 0.500 0.500 0.000
Os1 Os 0.000 0.000 0.500
```

Electronic total energy (eV/atom): -6.749
ΔE_f (eV per atom): -0.11
Fermi-level density of states (states/eV/atom): 0.206
M_tot (μB per atom): 0.00



Computed, not measured: crystalline Ge3BiP at its relaxed geometry at the GGA-PBEsol level of DFT.

Structure (CIF):
```
data_Ge3BiP
_chemical_formula_sum 'Ge3 Bi1 P1'
_cell_length_a 4.802
_cell_length_b 4.802
_cell_length_c 4.802
_cell_angle_alpha 90.00
_cell_angle_beta 90.00
_cell_angle_gamma 90.00
_space_group_name_H-M_alt 'P m -3 m'
_space_group_IT_number 221
_space_group_name_Hall '-P 4 2 3'
loop_
_atom_site_label
_atom_site_type_symbol
_atom_site_fract_x
_atom_site_fract_y
_atom_site_fract_z
Ge1 Ge 0.000 0.000 0.500
Bi1 Bi 0.500 0.500 0.500
P1 P 0.000 0.000 0.000
```

Electronic total energy (eV/atom): -4.536
ΔE_f (eV per atom): 0.44
Fermi-level density of states (states/eV/atom): 0.780
M_tot (μB per atom): 0.00



Computed, not measured: crystalline GeBiP2S at its relaxed geometry at the GGA-PBEsol level of DFT.

Structure (CIF):
```
data_GeBiP2S
_chemical_formula_sum 'Ge1 Bi1 P2 S1'
_cell_length_a 5.131
_cell_length_b 5.131
_cell_length_c 5.134
_cell_angle_alpha 90.00
_cell_angle_beta 90.00
_cell_angle_gamma 90.00
_space_group_name_H-M_alt 'P 4/m m m'
_space_group_IT_number 123
_space_group_name_Hall '-P 4 2'
loop_
_atom_site_label
_atom_site_type_symbol
_atom_site_fract_x
_atom_site_fract_y
_atom_site_fract_z
Ge1 Ge 0.000 0.000 0.000
Bi1 Bi 0.500 0.500 0.500
P1 P 0.000 0.500 0.500
S1 S 0.500 0.500 0.000
```

Uncorrected formation energy (kJ/mol of formula units): 590.7
Electronic total energy (eV/atom): -3.814
Fermi-level density of states (states/eV/atom): 1.019
M_tot (μB per atom): 0.00



Computed, not measured: crystalline TlGeBi2P at its relaxed geometry at the GGA-PBEsol level of DFT.

Structure (CIF):
```
data_TlGeBi2P
_chemical_formula_sum 'Tl1 Ge1 Bi2 P1'
_cell_length_a 5.593
_cell_length_b 5.593
_cell_length_c 4.580
_cell_angle_alpha 90.00
_cell_angle_beta 90.00
_cell_angle_gamma 90.00
_space_group_name_H-M_alt 'P 4/m m m'
_space_group_IT_number 123
_space_group_name_Hall '-P 4 2'
loop_
_atom_site_label
_atom_site_type_symbol
_atom_site_fract_x
_atom_site_fract_y
_atom_site_fract_z
Tl1 Tl 0.000 0.000 0.000
Ge1 Ge 0.500 0.500 0.500
Bi1 Bi 0.000 0.500 0.500
P1 P 0.500 0.500 0.000
```

Electronic total energy (eV/atom): -3.848
ΔE_f (eV per atom): 0.54
Fermi-level density of states (states/eV/atom): 0.761
M_tot (μB per atom): 0.00



Computed, not measured: crystalline GeBiPd6 at its relaxed geometry at the GGA-PBEsol level of DFT.

Structure (CIF):
```
data_GeBiPd6
_chemical_formula_sum 'Ge3 Bi3 Pd18'
_cell_length_a 4.4616
_cell_length_b 4.4616
_cell_length_c 21.8677
_cell_angle_alpha 90.00
_cell_angle_beta 90.00
_cell_angle_gamma 120.00
_space_group_name_H-M_alt 'R -3 m'
_space_group_IT_number 166
_space_group_name_Hall '-R 3 2"'
loop_
_atom_site_label
_atom_site_type_symbol
_atom_site_fract_x
_atom_site_fract_y
_atom_site_fract_z
Ge1 Ge 0.0000 0.0000 0.0000
Bi1 Bi 0.0000 0.0000 0.5000
Pd1 Pd 0.0000 0.0000 0.1138
Pd2 Pd 0.0000 0.0000 0.2458
Pd3 Pd 0.0000 0.0000 0.3673
```

Electronic total energy (eV/atom): -5.906
ΔE_f (eV per atom): -0.28
Fermi-level density of states (states/eV/atom): 0.567
M_tot (μB per atom): 0.00